Below is a PBEsol-optimized structure of CaMgRh2, with properties calculated at the SCAN level.

It has space group R-3m (No. 166, hexagonal axes), with a = 3.0376 Å, b = 3.0376 Å, c = 25.3165 Å, α = 90.00°, β = 90.00° and γ = 120.00°. Symmetry generates all atoms from Ca at (0.0000, 0.0000, 0.0000), Mg at (0.0000, 0.0000, 0.5000) and Rh at (0.0000, 0.0000, 0.2458).

As for the density of states at the Fermi level: 2.0 states/eV/f.u. The value obtained for the formation enthalpy at 0 K is -0.14 eV per atom.

Below is a PBEsol-optimized structure of Ta2OsPb, with properties calculated at the SCAN level.

It has space group Cmmm (No. 65), with a = 5.737 Å, b = 8.148 Å, c = 3.017 Å, α = 90.00°, β = 90.00° and γ = 90.00°. Symmetry generates all atoms from Ta at (0.250, 0.250, 0.000), Os at (0.000, 0.000, 0.500) and Pb at (0.000, 0.500, 0.500).

As for the density of states at the Fermi level: 2.7 states/eV/f.u. The value obtained for the formation enthalpy at 0 K is 0.34 eV per atom.

Below is a PBEsol-optimized structure of Mn2Si2O7, with properties calculated at the SCAN level.

It has space group Cmcm (No. 63), with a = 5.254 Å, b = 8.211 Å, c = 12.261 Å, α = 90.00°, β = 90.00° and γ = 90.00°. Symmetry generates all atoms from Mn at (0.000, 0.000, 0.000), Mn at (0.000, 0.030, 0.250), Si at (0.000, 0.339, 0.632), O at (0.000, 0.216, 0.532), O at (0.000, 0.236, 0.750) and O at (0.243, 0.045, 0.135).

As for the formation energy from raw total energies: -2560 meV/atom.

Below is a PBEsol-optimized structure of Hf3HOs, with properties calculated at the SCAN level.

It has space group Pm-3m (No. 221), with a = 4.253 Å, b = 4.253 Å, c = 4.253 Å, α = 90.00°, β = 90.00° and γ = 90.00°. Symmetry generates all atoms from Hf at (0.000, 0.000, 0.500), H at (0.000, 0.000, 0.000) and Os at (0.500, 0.500, 0.500).

Its distance to the lowest polymorph of the same formula is 0.0000 eV per atom. As for the density of states at the Fermi level: 4.5 states/eV/f.u.

Below is a PBEsol-optimized structure of TaGeS2N, with properties calculated at the SCAN level.

It has space group P4/mmm (No. 123), with a = 4.865 Å, b = 4.865 Å, c = 3.861 Å, α = 90.00°, β = 90.00° and γ = 90.00°. Symmetry generates all atoms from Ta at (0.000, 0.000, 0.000), Ge at (0.500, 0.500, 0.500), S at (0.000, 0.500, 0.000) and N at (0.000, 0.000, 0.500).

As for the density of states at the Fermi level: 1.8 states/eV/f.u. As for the formation energy from raw total energies: -131 meV/atom.

Below is a PBEsol-optimized structure of La3BeInS7, with properties calculated at the SCAN level.

It has space group P6_3 (No. 173), with a = 10.0375 Å, b = 10.0375 Å, c = 6.1078 Å, α = 90.00°, β = 90.00° and γ = 120.00°. Symmetry generates all atoms from La at (0.1435, 0.3928, 0.0000), Be at (0.3333, 0.6667, 0.4101), In at (0.0000, 0.0000, 0.2844), S at (0.0894, 0.2421, 0.5418), S at (0.1098, 0.5886, 0.2817) and S at (0.3333, 0.6667, 0.7594).

As for the density of states at the Fermi level: 0.0 states/eV/f.u. As for the formation energy from raw total energies: -1854 meV/atom.